BeIn2Te PBE-GGA optimized geometry; energy relative to the lowest polymorph listed for this composition = 79.2 meV per atom; energy relative to the elements, uncorrected = 142 meV/atom; VASP energy = -2.94 eV/atom
1.0
-0.545 1.357 3.467
3.715 -1.368 1.120
4.431 5.067 -1.287
Be In Te
1 2 1
direct
0.500 0.545 0.789 Be
0.500 0.318 0.222 In
0.000 0.975 0.933 In
0.000 0.662 0.557 Te


BeIn2Te PBE-GGA optimized geometry; energy relative to the lowest polymorph listed for this composition = 409.2 meV per atom; energy relative to the elements, uncorrected = 472 meV/atom; VASP energy = -2.61 eV/atom
1.0
-1.518 1.632 -4.337
-4.042 -2.698 0.399
-1.983 3.256 1.920
Be In Te
1 2 1
direct
0.000 0.500 0.500 Be
0.500 0.500 0.000 In
0.000 0.000 0.000 In
0.500 0.000 0.500 Te


BeIn3Te PBE-GGA optimized geometry; energy relative to the lowest polymorph listed for this composition = 940.2 meV per atom; energy relative to the elements, uncorrected = 1009 meV/atom; VASP energy = -2.01 eV/atom
1.0
-3.396 4.920 -0.898
-4.142 -2.159 3.837
2.802 2.771 4.584
Be Te In
1 1 3
direct
0.500 0.500 0.500 Be
0.000 0.000 0.000 Te
0.000 0.500 0.000 In
0.000 0.000 0.500 In
0.500 0.000 0.000 In